[1]
This record from Alexandria describes a relaxed structure of Ce3Zn6Au5. The functional is PBE-GGA.

Values from the calculation:
* formation energy: -671 kJ/mol of formula units
* total moment: 5.07 μB/cell
* ρ: 10.7 g/cm³

CIF file:
```
data_Ce3Zn6Au5
_chemical_formula_sum 'Ce6 Zn12 Au10'
_symmetry_space_group_name_H-M 'I m m m'
_symmetry_Int_Tables_number 71
_symmetry_space_group_name_Hall '-I 2 2'
_cell_length_a 4.485
_cell_length_b 9.452
_cell_length_c 13.163
_cell_angle_alpha 90.00
_cell_angle_beta 90.00
_cell_angle_gamma 90.00
loop_
_atom_site_label
_atom_site_type_symbol
_atom_site_fract_x
_atom_site_fract_y
_atom_site_fract_z
Ce1 Ce 0.000 0.000 0.000
Ce2 Ce 0.000 0.000 0.289
Zn1 Zn 0.000 0.173 0.500
Zn2 Zn 0.000 0.292 0.138
Au1 Au 0.000 0.352 0.345
Au2 Au 0.000 0.500 0.000
```

=====

[2]
This record from Alexandria describes a relaxed structure of Ce2ZnAu6. The functional is PBE-GGA.

Values from the calculation:
* formation energy: -447 kJ/mol of formula units
* total moment: 1.93 μB/cell
* ρ: 13.1 g/cm³

CIF file:
```
data_Ce2ZnAu6
_chemical_formula_sum 'Ce2 Zn1 Au6'
_symmetry_space_group_name_H-M 'P -3 m 1'
_symmetry_Int_Tables_number 164
_symmetry_space_group_name_Hall '-P 3 2"'
_cell_length_a 6.3776
_cell_length_b 6.3776
_cell_length_c 5.4989
_cell_angle_alpha 90.00
_cell_angle_beta 90.00
_cell_angle_gamma 120.00
loop_
_atom_site_label
_atom_site_type_symbol
_atom_site_fract_x
_atom_site_fract_y
_atom_site_fract_z
Ce1 Ce 0.3333 0.6667 0.3215
Zn1 Zn 0.0000 0.0000 0.5000
Au1 Au 0.1811 0.3623 0.8077
```

=====

[3]
This record from Alexandria describes a relaxed structure of Ce2ZnAu3. The functional is PBE-GGA.

Values from the calculation:
* ΔE to the lowest computed polymorph: 0 meV per atom
* formation energy: -376 kJ/mol of formula units
* total moment: 8.54 μB/cell
* ρ: 11.8 g/cm³

CIF file:
```
data_Ce2ZnAu3
_chemical_formula_sum 'Ce16 Zn8 Au24'
_symmetry_space_group_name_H-M 'F m m m'
_symmetry_Int_Tables_number 69
_symmetry_space_group_name_Hall '-F 2 2'
_cell_length_a 6.812
_cell_length_b 9.457
_cell_length_c 16.400
_cell_angle_alpha 90.00
_cell_angle_beta 90.00
_cell_angle_gamma 90.00
loop_
_atom_site_label
_atom_site_type_symbol
_atom_site_fract_x
_atom_site_fract_y
_atom_site_fract_z
Ce1 Ce 0.236 0.000 0.000
Ce2 Ce 0.250 0.250 0.250
Zn1 Zn 0.000 0.000 0.334
Au1 Au 0.000 0.000 0.172
Au2 Au 0.000 0.239 0.414
```

=====

[4]
This record from Alexandria describes a relaxed structure of CeZnAu4. The functional is PBE-GGA.

Values from the calculation:
* ΔE to the lowest computed polymorph: 70 meV per atom
* formation energy: -192 kJ/mol of formula units
* total moment: 2.70 μB/cell
* ρ: 13.3 g/cm³

CIF file:
```
data_CeZnAu4
_chemical_formula_sum 'Ce4 Zn4 Au16'
_symmetry_space_group_name_H-M 'F -4 3 m'
_symmetry_Int_Tables_number 216
_symmetry_space_group_name_Hall 'F -4 2 3'
_cell_length_a 7.914
_cell_length_b 7.914
_cell_length_c 7.914
_cell_angle_alpha 90.00
_cell_angle_beta 90.00
_cell_angle_gamma 90.00
loop_
_atom_site_label
_atom_site_type_symbol
_atom_site_fract_x
_atom_site_fract_y
_atom_site_fract_z
Ce1 Ce 0.000 0.000 0.000
Zn1 Zn 0.250 0.250 0.250
Au1 Au 0.124 0.124 0.624
```

=====

Copy entry 4 word for word.
This record from Alexandria describes a relaxed structure of CeZnAu4. The functional is PBE-GGA.

Values from the calculation:
* ΔE to the lowest computed polymorph: 70 meV per atom
* formation energy: -192 kJ/mol of formula units
* total moment: 2.70 μB/cell
* ρ: 13.3 g/cm³

CIF file:
```
data_CeZnAu4
_chemical_formula_sum 'Ce4 Zn4 Au16'
_symmetry_space_group_name_H-M 'F -4 3 m'
_symmetry_Int_Tables_number 216
_symmetry_space_group_name_Hall 'F -4 2 3'
_cell_length_a 7.914
_cell_length_b 7.914
_cell_length_c 7.914
_cell_angle_alpha 90.00
_cell_angle_beta 90.00
_cell_angle_gamma 90.00
loop_
_atom_site_label
_atom_site_type_symbol
_atom_site_fract_x
_atom_site_fract_y
_atom_site_fract_z
Ce1 Ce 0.000 0.000 0.000
Zn1 Zn 0.250 0.250 0.250
Au1 Au 0.124 0.124 0.624
```

=====

Q: formation energy of number 2 (Ce2ZnAu6)?
A: -447 kJ/mol of formula units

=====

Q: Look up the formation energy of the third one.
A: -376 kJ/mol of formula units

=====

Q: What is the total moment in the third record?
A: 8.54 μB/cell